No. 1
VASP calculation (GGA-PBE) on crystalline Na2B3C at its relaxed geometry.

The structure in extended XYZ format:
```
24
Lattice="8.675 0.242 -2.585 8.126 3.047 -2.585 0.005 0.001 10.354" Properties=species:S:1:pos:R:3 pbc="T T T"
C 2.114 0.414 1.721
C 6.308 1.235 3.376
C 14.700 2.878 -1.634
C 2.088 0.409 6.900
Na 4.195 0.821 5.178
Na 8.385 1.642 5.178
Na 4.180 0.818 0.005
Na 0.034 0.007 5.172
Na 12.633 2.473 5.183
Na 8.415 1.647 0.011
Na 12.591 2.465 0.003
Na 16.793 3.288 5.181
B 14.702 2.878 1.547
B 6.303 1.234 6.918
B 6.308 1.235 -1.658
B 10.507 2.057 6.924
B 14.706 2.879 -3.247
B 14.694 2.877 3.357
B 10.507 2.057 -1.637
B 10.506 2.057 1.751
B 6.302 1.234 1.726
B 2.102 0.412 8.531
B 10.496 2.055 3.546
B 2.108 0.413 3.357
```

DOS at the Fermi energy: 5.09 states/eV per cell
Space group: Cm
Uncorrected energy: -5.157 eV/atom
Offset from the most stable computed form: 25 meV/atom
Mass density: 2.37 g/cm³
Energy relative to the elements: 158 meV per atom
Calculated volume: 253 Å³ per cell

=====

No. 2
VASP calculation (GGA-PBE) on crystalline Na2B3C at its relaxed geometry.

The structure in extended XYZ format:
```
30
Lattice="8.572 0.222 -3.017 8.030 3.008 -3.017 -0.745 -0.145 13.471" Properties=species:S:1:pos:R:3 pbc="T T T"
B 10.395 2.023 -3.765
B 5.889 1.146 4.523
B 3.234 0.629 8.108
B 10.118 1.969 3.146
B 12.148 2.364 5.927
B 12.603 2.452 -0.680
B 13.559 2.638 0.645
B 7.053 1.372 -1.129
B 15.951 3.104 -3.312
B 2.688 0.523 0.091
B 15.555 3.027 3.386
B 13.195 2.568 7.365
B 8.634 1.680 8.311
B 3.653 0.711 1.439
B 0.401 0.078 4.189
Na 2.662 0.518 10.878
Na 12.814 2.493 3.283
Na 3.019 0.588 4.202
Na 15.840 3.082 7.419
Na 6.449 1.255 1.628
Na 9.789 1.905 -0.917
Na 13.206 2.570 -3.505
Na -0.345 -0.067 6.741
Na 6.010 1.169 8.381
Na 9.450 1.839 5.793
C -0.120 -0.023 10.711
C 9.161 1.783 1.819
C 5.373 1.045 11.036
C 2.286 0.445 6.820
C 6.796 1.322 5.759
```

DOS at the Fermi energy: 9.41 states/eV per cell
Space group: Cm
Uncorrected energy: -5.162 eV/atom
Offset from the most stable computed form: 20 meV/atom
Mass density: 2.37 g/cm³
Energy relative to the elements: 153 meV per atom
Calculated volume: 317 Å³ per cell

=====

No. 3
VASP calculation (GGA-PBE) on crystalline Na5B8C2 at its relaxed geometry.

The structure in extended XYZ format:
```
30
Lattice="11.459 0.169 -2.734 11.068 2.974 -2.734 -0.497 -0.069 10.132" Properties=species:S:1:pos:R:3 pbc="T T T"
Na 4.337 0.605 2.938
Na 8.610 1.201 5.926
Na 17.737 2.475 1.719
Na 20.108 2.805 -1.900
Na 1.912 0.267 6.595
Na 13.401 1.870 -1.257
Na 22.000 3.069 4.656
Na 11.015 1.537 2.358
Na 6.699 0.935 -0.658
Na 15.345 2.141 5.275
B 13.910 1.941 1.713
B 11.360 1.585 5.202
B 1.694 0.236 3.784
B 6.988 0.975 2.182
B 4.619 0.644 5.801
B 17.899 2.497 4.440
B 21.820 3.044 1.921
B 12.782 1.783 6.156
B 9.159 1.278 -1.564
B 0.316 0.044 2.835
B 3.921 0.547 0.050
B 16.029 2.236 -2.104
B 17.377 2.424 -1.171
B 20.440 2.852 0.982
B 8.330 1.162 3.120
B 10.620 1.482 -0.565
C 5.956 0.831 6.714
C 2.151 0.300 9.307
C 15.187 2.119 2.597
C 19.750 2.756 -4.763
```

DOS at the Fermi energy: 6.45 states/eV per cell
Space group: Cm
Uncorrected energy: -5.047 eV/atom
Offset from the most stable computed form: 13 meV/atom
Mass density: 2.32 g/cm³
Energy relative to the elements: 184 meV per atom
Calculated volume: 322 Å³ per cell

=====

No. 4
VASP calculation (GGA-PBE) on crystalline Na5B8C2 at its relaxed geometry.

The structure in extended XYZ format:
```
30
Lattice="8.599 0.222 -3.017 8.055 3.019 -3.017 -0.708 -0.138 13.588" Properties=species:S:1:pos:R:3 pbc="T T T"
B 5.793 1.127 4.384
B 13.525 2.632 0.549
B 12.207 2.375 6.012
B 3.269 0.636 8.178
B 0.425 0.083 4.226
B 2.650 0.516 0.035
B 6.754 1.314 5.717
B 16.013 3.116 -3.293
B -0.004 -0.001 10.936
B 13.265 2.581 7.488
B 12.533 2.439 -0.818
B 3.647 0.710 1.432
B 10.185 1.982 3.195
B 15.700 3.055 3.576
B 8.929 1.737 8.753
B 7.080 1.378 -1.107
Na 9.829 1.912 -0.878
Na 6.468 1.259 1.642
Na 9.500 1.849 5.885
Na 13.258 2.580 -3.477
Na 16.633 3.237 -6.003
Na 12.886 2.507 3.317
Na 2.728 0.531 10.992
Na -0.346 -0.067 6.785
Na 3.039 0.591 4.212
Na 6.074 1.182 8.479
C 5.414 1.053 11.165
C 2.332 0.454 6.872
C 9.218 1.794 1.857
C 10.544 2.052 -3.593
```

DOS at the Fermi energy: 9.88 states/eV per cell
Space group: Cm
Uncorrected energy: -5.039 eV/atom
Offset from the most stable computed form: 21 meV/atom
Mass density: 2.32 g/cm³
Energy relative to the elements: 192 meV per atom
Calculated volume: 322 Å³ per cell

=====

No. 5
VASP calculation (GGA-PBE) on crystalline Na2B3C at its relaxed geometry.

The structure in extended XYZ format:
```
24
Lattice="3.737 12.442 -11.640 8.152 8.702 -12.731 -8.519 -10.756 10.770" Properties=species:S:1:pos:R:3 pbc="T T T"
B 3.530 9.809 -10.934
B -1.008 5.139 -5.194
B 4.337 8.431 -11.733
B -1.804 -2.073 0.418
B 5.109 12.507 -14.056
B -0.889 1.840 -1.760
B 0.587 4.574 -4.901
B 2.139 7.163 -7.903
B -0.251 0.520 -2.589
B -2.402 2.490 -2.159
B 4.347 5.293 -8.448
B 1.395 3.199 -5.702
Na 4.440 7.897 -9.102
Na -1.073 2.476 -4.483
Na 3.364 10.367 -13.579
Na 8.921 15.881 -18.304
Na 2.990 5.318 -6.130
Na 5.927 10.569 -12.179
Na 10.384 18.482 -21.302
Na 1.477 2.655 -3.058
C 2.844 2.693 -5.444
C 0.534 7.729 -8.195
C 5.781 7.917 -11.465
C 2.740 5.859 -8.741
```

DOS at the Fermi energy: 5.29 states/eV per cell
Space group: Imm2
Uncorrected energy: -5.145 eV/atom
Offset from the most stable computed form: 37 meV/atom
Mass density: 2.37 g/cm³
Energy relative to the elements: 171 meV per atom
Calculated volume: 253 Å³ per cell

=====

No. 6
VASP calculation (GGA-PBE) on crystalline Na5B6C4 at its relaxed geometry.

The structure in extended XYZ format:
```
30
Lattice="-6.155 -10.091 -4.317 7.025 8.304 6.328 -6.728 2.071 4.751" Properties=species:S:1:pos:R:3 pbc="T T T"
B -3.484 -3.498 0.386
B -6.882 -8.241 -2.359
B -7.689 -3.636 2.082
B -5.971 -6.969 -1.622
B -5.055 0.040 4.210
B 0.220 7.401 8.470
B -1.707 -1.018 1.821
B -0.820 0.219 2.538
B -10.331 -7.323 -0.051
B -2.419 3.718 6.339
B 1.865 3.967 4.706
B 4.339 7.421 6.705
Na 1.006 5.667 6.589
Na -12.878 -8.019 0.432
Na -4.276 -1.696 2.330
Na -6.895 -5.362 0.205
Na -4.962 3.021 6.819
Na -9.521 -9.052 -1.938
Na -1.614 1.990 4.455
Na -7.590 -0.676 4.671
Na -2.319 6.690 8.937
Na -10.222 -4.338 2.555
C 3.522 6.280 6.045
C -1.538 4.948 7.050
C -4.322 -4.668 -0.291
C 1.096 8.625 9.178
C -9.447 -6.090 0.663
C -6.811 -2.412 2.791
C -4.176 1.267 4.920
C 1.016 2.783 4.021
```

DOS at the Fermi energy: 4.98 states/eV per cell
Space group: Amm2
Uncorrected energy: -5.506 eV/atom
Offset from the most stable computed form: 13 meV/atom
Mass density: 2.52 g/cm³
Energy relative to the elements: 65 meV per atom
Calculated volume: 300 Å³ per cell

=====

The records above yield magnetization values of 0.00 0.00 0.00 0.02 0.00 0.12 μB per cell, respectively.